Entry 1:
Below is a relaxed structure of SmCoSn2, with properties calculated at the PBE level.

For the formation enthalpy at 0 K, the calculation gives -1.9 eV/f.u.

```
data_SmCoSn2
_chemical_formula_sum 'Sm8 Co8 Sn16'
_symmetry_space_group_name_H-M 'I m m m'
_symmetry_Int_Tables_number 71
_symmetry_space_group_name_Hall '-I 2 2'
_cell_length_a 4.4906
_cell_length_b 9.4177
_cell_length_c 16.8993
_cell_angle_alpha 90.00
_cell_angle_beta 90.00
_cell_angle_gamma 90.00
loop_
_atom_site_label
_atom_site_fract_x
_atom_site_fract_y
_atom_site_fract_z
Sm1 0.0000 0.0000 0.2095
Sm2 0.0000 0.2327 0.0000
Co1 0.0000 0.2515 0.3539
Sn1 0.0000 0.0000 0.4137
Sn2 0.0000 0.3341 0.1968
Sn3 0.0000 0.5000 0.4169
```

Entry 2:
Below is a relaxed structure of Ta2TlZn, with properties calculated at the PBE level.

For the formation enthalpy at 0 K, the calculation gives 1.3 eV/f.u.

```
data_Ta2TlZn
_chemical_formula_sum 'Ta2 Tl1 Zn1'
_symmetry_space_group_name_H-M 'P m m m'
_symmetry_Int_Tables_number 47
_cell_length_a 3.9224
_cell_length_b 4.1612
_cell_length_c 4.4802
_cell_angle_alpha 90.00
_cell_angle_beta 90.00
_cell_angle_gamma 90.00
loop_
_symmetry_equiv_pos_as_xyz
'x,y,z'
'-x,-y,-z'
'-x,-y,z'
'x,y,-z'
'x,-y,-z'
'-x,y,z'
'-x,y,-z'
'x,-y,z'
loop_
_atom_site_label
_atom_site_fract_x
_atom_site_fract_y
_atom_site_fract_z
Ta1 0.0000 0.0000 0.0000
Ta2 0.5000 0.5000 0.0000
Tl1 0.0000 0.5000 0.5000
Zn1 0.5000 0.0000 0.5000
```

Entry 3:
Below is a relaxed structure of K3La2SmTe6, with properties calculated at the PBE level.

For the uncorrected formation energy, the calculation gives -1701.7 kJ/mol of formula units.

```
data_K3La2SmTe6
_chemical_formula_sum 'K6 La4 Sm2 Te12'
_symmetry_space_group_name_H-M 'C 1 2/m 1'
_symmetry_Int_Tables_number 12
_cell_length_a 8.0832
_cell_length_b 14.0032
_cell_length_c 8.6641
_cell_angle_alpha 90.00
_cell_angle_beta 108.12
_cell_angle_gamma 90.00
loop_
_symmetry_equiv_pos_as_xyz
'x,y,z'
'-x,-y,-z'
'-x,y,-z'
'x,-y,z'
'x+1/2,y+1/2,z'
'-x+1/2,-y+1/2,-z'
'-x+1/2,y+1/2,-z'
'x+1/2,-y+1/2,z'
loop_
_atom_site_label
_atom_site_fract_x
_atom_site_fract_y
_atom_site_fract_z
K1 0.0000 0.0000 0.0000
K2 0.0000 0.3321 0.0000
La1 0.0000 0.1665 0.5000
Sm1 0.0000 0.5000 0.5000
Te1 0.2351 0.3364 0.7148
Te2 0.2448 0.0000 0.7150
```

Entry 4:
Below is a relaxed structure of La8Y2Ho3, with properties calculated at the PBE level.

For the formation enthalpy at 0 K, the calculation gives 1.9 eV/f.u. The calculation puts the energy relative to the lowest polymorph listed for this composition at 0.0 meV per atom.

```
data_La8Y2Ho3
_chemical_formula_sum 'La16 Y4 Ho6'
_symmetry_space_group_name_H-M 'C 1 2/m 1'
_symmetry_Int_Tables_number 12
_cell_length_a 13.6638
_cell_length_b 11.8404
_cell_length_c 6.1536
_cell_angle_alpha 90.00
_cell_angle_beta 112.61
_cell_angle_gamma 90.00
loop_
_symmetry_equiv_pos_as_xyz
'x,y,z'
'-x,-y,-z'
'-x,y,-z'
'x,-y,z'
'x+1/2,y+1/2,z'
'-x+1/2,-y+1/2,-z'
'-x+1/2,y+1/2,-z'
'x+1/2,-y+1/2,z'
loop_
_atom_site_label
_atom_site_fract_x
_atom_site_fract_y
_atom_site_fract_z
La1 0.0854 0.0000 0.2344
La2 0.1385 0.5000 0.6123
La3 0.1599 0.2604 0.1481
Y1 0.1875 0.0000 0.8155
Ho1 0.0000 0.2270 0.5000
Ho2 0.0000 0.5000 0.0000
```

Entry 5:
Below is a relaxed structure of Y2ZnRu3, with properties calculated at the PBE level.

For the formation enthalpy at 0 K, the calculation gives -1.9 eV/f.u.

```
data_Y2ZnRu3
_chemical_formula_sum 'Y6 Zn3 Ru9'
_symmetry_space_group_name_H-M 'R -3 m'
_symmetry_Int_Tables_number 166
_symmetry_space_group_name_Hall '-R 3 2"'
_cell_length_a 5.3793
_cell_length_b 5.3793
_cell_length_c 13.0046
_cell_angle_alpha 90.00
_cell_angle_beta 90.00
_cell_angle_gamma 120.00
loop_
_atom_site_label
_atom_site_fract_x
_atom_site_fract_y
_atom_site_fract_z
Y1 0.0000 0.0000 0.1231
Zn1 0.0000 0.0000 0.5000
Ru1 0.0000 0.5000 0.0000
```

Entry 6:
Below is a relaxed structure of NdDyInN3, with properties calculated at the PBE level.

For the uncorrected formation energy, the calculation gives -514.7 kJ/mol of formula units.

```
data_NdDyInN3
_chemical_formula_sum 'Nd2 Dy2 In2 N6'
_symmetry_space_group_name_H-M 'P 1 21/m 1'
_symmetry_Int_Tables_number 11
_cell_length_a 5.9477
_cell_length_b 3.4580
_cell_length_c 8.8690
_cell_angle_alpha 90.00
_cell_angle_beta 99.57
_cell_angle_gamma 90.00
loop_
_symmetry_equiv_pos_as_xyz
'x,y,z'
'-x,-y,-z'
'-x,y+1/2,-z'
'x,-y+1/2,z'
loop_
_atom_site_label
_atom_site_fract_x
_atom_site_fract_y
_atom_site_fract_z
Nd1 0.1611 0.2500 0.1937
Dy1 0.2617 0.7500 0.5493
In1 0.3504 0.2500 0.8575
N1 0.0406 0.2500 0.6597
N2 0.2490 0.7500 0.9882
N3 0.4584 0.7500 0.3387
```

Entry 7:
Below is a relaxed structure of ScGe2Sb2, with properties calculated at the PBE level.

For the uncorrected formation energy, the calculation gives -38.8 kJ/mol of formula units. The calculation puts the energy relative to the lowest polymorph listed for this composition at 0.0 meV per atom.

```
data_ScGe2Sb2
_chemical_formula_sum 'Sc2 Ge4 Sb4'
_symmetry_space_group_name_H-M 'P 4/m b m'
_symmetry_Int_Tables_number 127
_symmetry_space_group_name_Hall '-P 4 2ab'
_cell_length_a 7.3587
_cell_length_b 7.3587
_cell_length_c 4.2225
_cell_angle_alpha 90.00
_cell_angle_beta 90.00
_cell_angle_gamma 90.00
loop_
_atom_site_label
_atom_site_fract_x
_atom_site_fract_y
_atom_site_fract_z
Sc1 0.0000 0.0000 0.0000
Ge1 0.1312 0.3688 0.0000
Sb1 0.1784 0.6784 0.5000
```

Entry 8:
Below is a relaxed structure of TcMoW4, with properties calculated at the PBE level.

For the formation enthalpy at 0 K, the calculation gives 2.6 eV/f.u. The calculation puts the energy relative to the lowest polymorph listed for this composition at 416.9 meV per atom.

```
data_TcMoW4
_chemical_formula_sum 'Tc4 Mo4 W16'
_symmetry_space_group_name_H-M 'F -4 3 m'
_symmetry_Int_Tables_number 216
_symmetry_space_group_name_Hall 'F -4 2 3'
_cell_length_a 7.3721
_cell_length_b 7.3721
_cell_length_c 7.3721
_cell_angle_alpha 90.00
_cell_angle_beta 90.00
_cell_angle_gamma 90.00
loop_
_atom_site_label
_atom_site_fract_x
_atom_site_fract_y
_atom_site_fract_z
Tc1 0.0000 0.0000 0.0000
Mo1 0.2500 0.2500 0.2500
W1 0.1247 0.1247 0.6247
```

For the records above, the corresponding total magnetization values read 0.0 0.0 0.0 0.0 4.3 0.0 0.0 0.0 μB per cell.
For the records above, the corresponding density values read 8.3 14.3 4.7 6.4 8.4 8.6 6.3 15.4 g/cm3.